# 1
A plane-wave DFT calculation with PBE was carried out for a geometry-optimized RbCr2InRe structure.

Cell and atoms, written as POSCAR:
```
RbCr2InRe
1.0
4.856 0.000 0.000
0.000 4.856 0.000
0.000 0.000 5.549
Rb Cr In Re
1 2 1 1
Cartesian
0.000 0.000 0.000
0.000 2.428 0.000
2.428 0.000 0.000
0.000 0.000 2.774
2.428 2.428 2.774
```

Summary:
The calculation puts the raw total energy at -4.025 eV/atom. The calculation puts the formation energy from the elements at 3.056 eV per atom. The value obtained for the density is 6.2 g/cm³.

# 2
A plane-wave DFT calculation with PBE was carried out for a geometry-optimized BaZr2MnW structure.

Cell and atoms, written as POSCAR:
```
BaZr2MnW
1.0
5.085 0.000 0.000
0.000 5.085 0.000
0.000 0.000 5.872
Ba Zr Mn W
1 2 1 1
Cartesian
0.000 0.000 0.000
0.000 2.542 2.936
2.542 0.000 2.936
2.542 2.542 0.000
0.000 0.000 2.936
```

Summary:
The calculation puts the raw total energy at -6.512 eV/atom. The calculation puts the formation energy from the elements at 1.717 eV per atom. The value obtained for the density is 6.1 g/cm³.